No. 1
A geometry-optimized Li2DyTl structure. Source: Alexandria, functional GGA-PBEsol.

As for the formation energy: -0.268 eV per atom. For the spin magnetization, the calculation gives 0.000 μB/atom.

a = 6.741 Å, b = 6.741 Å, c = 6.741 Å
α = 90.00°, β = 90.00°, γ = 90.00°
Space group Fm-3m (No. 225)
Unique sites:
Li 0.250 0.250 0.250 x8
Dy 0.000 0.000 0.000 x4
Tl 0.000 0.000 0.500 x4

---

No. 2
A geometry-optimized BeNbCo3 structure. Source: Alexandria, functional GGA-PBEsol.

As for the formation energy: 0.119 eV per atom. For the spin magnetization, the calculation gives 0.000 μB/atom.

a = 3.811 Å, b = 3.811 Å, c = 3.811 Å
α = 90.00°, β = 90.00°, γ = 90.00°
Space group Pm-3m (No. 221)
Unique sites:
Be 0.000 0.000 0.000 x1
Nb 0.500 0.500 0.500 x1
Co 0.000 0.000 0.500 x3

---

No. 3
A geometry-optimized Ba6Hf5S16 structure. Source: Alexandria, functional GGA-PBEsol.

For the spin magnetization, the calculation gives 0.000 μB/atom. As for the uncorrected formation energy: -1887 meV/atom.

a = 4.939 Å, b = 4.939 Å, c = 54.994 Å
α = 90.00°, β = 90.00°, γ = 90.00°
Space group I4/mmm (No. 139)
Unique sites:
Ba 0.000 0.000 0.044 x4
Ba 0.000 0.000 0.132 x4
Ba 0.000 0.000 0.218 x4
Hf 0.000 0.000 0.319 x4
Hf 0.000 0.000 0.410 x4
Hf 0.000 0.000 0.500 x2
S 0.000 0.000 0.274 x4
S 0.000 0.000 0.365 x4
S 0.000 0.000 0.455 x4
S 0.000 0.500 0.000 x4
S 0.000 0.500 0.090 x8
S 0.000 0.500 0.179 x8

---

No. 4
A geometry-optimized Mn2ReCl structure. Source: Alexandria, functional GGA-PBEsol.

For the spin magnetization, the calculation gives 0.599 μB/atom. As for the uncorrected formation energy: 320 meV/atom.

a = 2.742 Å, b = 2.742 Å, c = 6.663 Å
α = 90.00°, β = 90.00°, γ = 90.00°
Space group P4/mmm (No. 123)
Unique sites:
Mn 0.000 0.000 0.243 x2
Re 0.500 0.500 0.500 x1
Cl 0.500 0.500 0.000 x1

---

No. 5
A geometry-optimized FeTeS3 structure. Source: Alexandria, functional GGA-PBEsol.

For the spin magnetization, the calculation gives 0.428 μB/atom. As for the uncorrected formation energy: 155 meV/atom.

a = 4.414 Å, b = 4.414 Å, c = 4.414 Å
α = 90.00°, β = 90.00°, γ = 90.00°
Space group Pm-3m (No. 221)
Unique sites:
Fe 0.000 0.000 0.000 x1
Te 0.500 0.500 0.500 x1
S 0.000 0.000 0.500 x3

---

No. 6
A geometry-optimized TeP2Ir structure. Source: Alexandria, functional GGA-PBEsol.

For the spin magnetization, the calculation gives 0.000 μB/atom. As for the uncorrected formation energy: 323 meV/atom.

a = 2.893 Å, b = 5.035 Å, c = 9.891 Å
α = 90.00°, β = 90.00°, γ = 90.00°
Space group Immm (No. 71)
Unique sites:
Te 0.000 0.000 0.000 x2
P 0.000 0.500 0.197 x4
Ir 0.000 0.000 0.500 x2